DFT (PBE with a Hubbard U) results for an optimized crystal structure of RbVWO6.

Properties
The total magnetization comes out at 0.0 μB per cell. The calculation puts the total DFT energy (no corrections) at -62.89 eV per cell.

Unit cell a=5.1933 b=5.1933 c=6.3497 alpha=90.00 beta=90.00 gamma=60.00
With the nearest neighbours (Å) after each atom.
Fractional positions:
1 Rb 0.0000 0.0000 0.0000  6 O 2.94
2 V 0.6667 0.6667 0.4999  6 O 1.91
3 W 0.3333 0.3333 0.5000  6 O 1.95
4 O 0.9937 0.4044 0.3265  1 V 1.91, 1 W 1.95
5 O 0.4043 0.9937 0.6735  1 V 1.91, 1 W 1.95
6 O 0.6019 0.4044 0.6735  1 V 1.91, 1 W 1.95
7 O 0.9937 0.6019 0.6735  1 V 1.91, 1 W 1.95
8 O 0.4043 0.6020 0.3265  1 V 1.91, 1 W 1.95
9 O 0.6019 0.9937 0.3265  1 V 1.91, 1 W 1.95